1.
First-principles (PBE) data for an optimized crystal structure of CaSm2TmTl4, as listed in the Alexandria database.

CIF file:
```
data_CaSm2TmTl4
_chemical_formula_sum 'Ca1 Sm2 Tm1 Tl4'
_cell_length_a 9.4229
_cell_length_b 9.4229
_cell_length_c 9.4229
_cell_angle_alpha 33.48
_cell_angle_beta 33.48
_cell_angle_gamma 33.48
_symmetry_space_group_name_H-M 'P 1'
_symmetry_Int_Tables_number 1
loop_
_symmetry_equiv_pos_as_xyz
'x,y,z'
loop_
_atom_site_label
_atom_site_fract_x
_atom_site_fract_y
_atom_site_fract_z
_atom_site_occupancy
Ca1 0.0000 0.0000 0.0000 1
Sm1 0.2530 0.2530 0.2530 1
Sm2 0.7470 0.7470 0.7470 1
Tm1 0.5000 0.5000 0.5000 1
Tl1 0.1275 0.1275 0.1275 1
Tl2 0.3780 0.3780 0.3780 1
Tl3 0.6220 0.6220 0.6220 1
Tl4 0.8725 0.8725 0.8725 1
```

Summary:
Calculated formation energy = -363 meV per atom

2.
First-principles (PBE) data for an optimized crystal structure of Tl2TePd, as listed in the Alexandria database.

CIF file:
```
data_Tl2TePd
_chemical_formula_sum 'Tl8 Te4 Pd4'
_cell_length_a 7.5290
_cell_length_b 7.5290
_cell_length_c 7.5290
_cell_angle_alpha 90.00
_cell_angle_beta 90.00
_cell_angle_gamma 90.00
_symmetry_space_group_name_H-M 'P 1'
_symmetry_Int_Tables_number 1
loop_
_symmetry_equiv_pos_as_xyz
'x,y,z'
loop_
_atom_site_label
_atom_site_fract_x
_atom_site_fract_y
_atom_site_fract_z
_atom_site_occupancy
Tl1 0.2500 0.2500 0.2500 1
Tl2 0.2500 0.2500 0.7500 1
Tl3 0.2500 0.7500 0.2500 1
Tl4 0.2500 0.7500 0.7500 1
Tl5 0.7500 0.2500 0.2500 1
Tl6 0.7500 0.2500 0.7500 1
Tl7 0.7500 0.7500 0.2500 1
Tl8 0.7500 0.7500 0.7500 1
Te1 0.0000 0.0000 0.0000 1
Te2 0.0000 0.5000 0.5000 1
Te3 0.5000 0.0000 0.5000 1
Te4 0.5000 0.5000 0.0000 1
Pd1 0.0000 0.0000 0.5000 1
Pd2 0.0000 0.5000 0.0000 1
Pd3 0.5000 0.0000 0.0000 1
Pd4 0.5000 0.5000 0.5000 1
```

Summary:
Formation energy from raw total energies = 0.42 eV/f.u.

3.
First-principles (PBE) data for an optimized crystal structure of K3OsBr2F6, as listed in the Alexandria database.

CIF file:
```
data_K3OsBr2F6
_chemical_formula_sum 'K3 Os1 Br2 F6'
_cell_length_a 8.9117
_cell_length_b 8.9117
_cell_length_c 5.0063
_cell_angle_alpha 92.94
_cell_angle_beta 92.94
_cell_angle_gamma 51.74
_symmetry_space_group_name_H-M 'P 1'
_symmetry_Int_Tables_number 1
loop_
_symmetry_equiv_pos_as_xyz
'x,y,z'
loop_
_atom_site_label
_atom_site_fract_x
_atom_site_fract_y
_atom_site_fract_z
_atom_site_occupancy
K1 0.0000 0.0000 0.0000 1
K2 0.0000 0.5000 0.5000 1
K3 0.5000 0.0000 0.5000 1
Os1 0.5000 0.5000 0.5000 1
Br1 0.1962 0.1962 0.9990 1
Br2 0.8038 0.8038 0.0010 1
F1 0.2881 0.6470 0.2535 1
F2 0.3530 0.7119 0.7465 1
F3 0.3873 0.3873 0.6143 1
F4 0.6127 0.6127 0.3857 1
F5 0.6470 0.2881 0.2535 1
F6 0.7119 0.3530 0.7465 1
```

Summary:
Formation energy from raw total energies = -23.81 eV/f.u.

4.
First-principles (PBE) data for an optimized crystal structure of Zn3CdGe, as listed in the Alexandria database.

CIF file:
```
data_Zn3CdGe
_chemical_formula_sum 'Zn3 Cd1 Ge1'
_cell_length_a 4.9600
_cell_length_b 4.9600
_cell_length_c 4.9600
_cell_angle_alpha 90.00
_cell_angle_beta 90.00
_cell_angle_gamma 90.00
_symmetry_space_group_name_H-M 'P 1'
_symmetry_Int_Tables_number 1
loop_
_symmetry_equiv_pos_as_xyz
'x,y,z'
loop_
_atom_site_label
_atom_site_fract_x
_atom_site_fract_y
_atom_site_fract_z
_atom_site_occupancy
Zn1 0.0000 0.0000 0.5000 1
Zn2 0.0000 0.5000 0.0000 1
Zn3 0.5000 0.0000 0.0000 1
Cd1 0.0000 0.0000 0.0000 1
Ge1 0.5000 0.5000 0.5000 1
```

Summary:
Calculated formation energy = 726 meV per atom

Per-record M_tot, μB per atom: 0.0000, 0.0000, 0.2501, 0.0000
Per-record calculated density, Mg/m³: 9.7, 10.0, 3.1, 5.2